FeOsSe after structural relaxation. Source: the Alexandria database, functional PBE.

Lattice parameters (Å, degrees): 2.7374 4.7588 14.9049 90.00 90.00 90.00
Last column: nearest neighbours and their distance in Å.
Atoms (fractional coordinates):
Fe 0.0000 0.0000 0.0000  2 Os 2.47, 2 Se 2.56, 6 Fe 2.74
Fe 0.0000 0.5000 0.5000  2 Os 2.47, 2 Se 2.56, 6 Fe 2.74
Fe 0.5000 0.0000 0.5000  2 Os 2.47, 2 Se 2.56, 6 Fe 2.74
Fe 0.5000 0.5000 0.0000  2 Os 2.47, 2 Se 2.56, 6 Fe 2.74
Os 0.0000 0.0000 0.6381  2 Fe 2.47, 6 Os 2.74
Os 0.0000 0.5000 0.1381  2 Fe 2.47, 6 Os 2.74
Os 0.5000 0.0000 0.1381  2 Fe 2.47, 6 Os 2.74
Os 0.5000 0.5000 0.6381  2 Fe 2.47, 6 Os 2.74
Se 0.0000 0.0000 0.3552  2 Fe 2.56, 6 Se 2.74
Se 0.0000 0.5000 0.8552  2 Fe 2.56, 6 Se 2.74
Se 0.5000 0.0000 0.8552  2 Fe 2.56, 6 Se 2.74
Se 0.5000 0.5000 0.3552  2 Fe 2.56, 6 Se 2.74

Calculated values
Fermi-level density of states	10.961	states/eV/cell
E_form (uncorrected)	0.654	eV per atom
density	11119	kg/m3
polymorph energy (0 for the lowest one)	200.1	meV per atom
space-group type	Fmm2

FeOs3Se after structural relaxation. Source: the Alexandria database, functional PBE.

Lattice parameters (Å, degrees): 4.4438 4.4438 4.4438 90.00 90.00 90.00
Last column: nearest neighbours and their distance in Å.
Atoms (fractional coordinates):
Fe 0.0000 0.0000 0.0000  6 Os 2.22
Os 0.0000 0.0000 0.5000  2 Fe 2.22
Os 0.0000 0.5000 0.0000  2 Fe 2.22
Os 0.5000 0.0000 0.0000  2 Fe 2.22
Se 0.5000 0.5000 0.5000  12 Os 3.14

Calculated values
Fermi-level density of states	6.292	states/eV/cell
E_form (uncorrected)	1.949	eV per atom
density	13350	kg/m3
polymorph energy (0 for the lowest one)	0.0	meV per atom
space-group type	Pm-3m

FeOs3Se after structural relaxation. Source: the Alexandria database, functional PBE.

Lattice parameters (Å, degrees): 4.4786 4.4786 4.4786 90.00 90.00 90.00
Last column: nearest neighbours and their distance in Å.
Atoms (fractional coordinates):
Fe 0.0000 0.0000 0.0000  12 Os 3.17
Os 0.0000 0.5000 0.5000  2 Se 2.24
Os 0.5000 0.0000 0.5000  2 Se 2.24
Os 0.5000 0.5000 0.0000  2 Se 2.24
Se 0.5000 0.5000 0.5000  6 Os 2.24

Calculated values
Fermi-level density of states	8.620	states/eV/cell
E_form (uncorrected)	2.204	eV per atom
density	13041	kg/m3
polymorph energy (0 for the lowest one)	254.6	meV per atom
space-group type	Pm-3m